## NaLiBi (GGA-PBE)

Data for a geometry-optimized NaLiBi structure.

It has space group C2/c (No. 15), with a = 5.9271 Å, b = 9.2357 Å, c = 5.7855 Å, α = 90.00°, β = 107.49° and γ = 90.00°. The asymmetric unit holds Na at (0.0000, 0.0809, 0.2500), Li at (0.0000, 0.4048, 0.2500) and Bi at (0.0000, 0.2690, 0.7500).

The total magnetization comes out at 0.00 μB/f.u. The value obtained for the electronic total energy is -2.7432 eV per atom.